No. 1
CrSbW3 after structural relaxation. Source: the Alexandria database, functional PBE-GGA. Values from VASP.

The structure in Quantum ESPRESSO input format:
```
&SYSTEM
  ibrav = 0, nat = 5, ntyp = 3
/
ATOMIC_SPECIES
Cr 52.00 Cr.upf
Sb 121.76 Sb.upf
W 183.84 W.upf
CELL_PARAMETERS angstrom
4.5605 0.0000 0.0000
0.0000 4.5605 0.0000
0.0000 0.0000 4.5605
ATOMIC_POSITIONS crystal
Cr 0.0000 0.0000 0.0000
Sb 0.5000 0.5000 0.5000
W 0.0000 0.0000 0.5000
W 0.0000 0.5000 0.0000
W 0.5000 0.0000 0.0000
```

Crystal system: cubic
Relative energy among the computed polymorphs (kJ/mol of formula units): 0
E_form (uncorrected) (eV/atom): 1.47
Space group: Pm-3m

=====

No. 2
CeHoIn2 after structural relaxation. Source: the Alexandria database, functional PBE-GGA. Values from VASP.

The structure in Quantum ESPRESSO input format:
```
&SYSTEM
  ibrav = 0, nat = 12, ntyp = 3
/
ATOMIC_SPECIES
Ce 140.12 Ce.upf
Ho 164.93 Ho.upf
In 114.82 In.upf
CELL_PARAMETERS angstrom
3.6010 0.0000 0.0000
-1.8005 3.1186 0.0000
0.0000 0.0000 30.6435
ATOMIC_POSITIONS crystal
Ce 0.0000 0.0000 0.0000
Ce 0.3333 0.6667 0.6667
Ce 0.6667 0.3333 0.3333
Ho 0.0000 0.0000 0.5000
Ho 0.3333 0.6667 0.1667
Ho 0.6667 0.3333 0.8333
In 0.0000 0.0000 0.2475
In 0.0000 0.0000 0.7525
In 0.3333 0.6667 0.4192
In 0.3333 0.6667 0.9142
In 0.6667 0.3333 0.0858
In 0.6667 0.3333 0.5808
```

Crystal system: trigonal
Energy of formation (meV per atom): -233.7
Space group: R-3m

=====

No. 3
SbPdO3 after structural relaxation. Source: the Alexandria database, functional PBE-GGA. Values from VASP.

The structure in Quantum ESPRESSO input format:
```
&SYSTEM
  ibrav = 0, nat = 5, ntyp = 3
/
ATOMIC_SPECIES
Sb 121.76 Sb.upf
Pd 106.42 Pd.upf
O 16.00 O.upf
CELL_PARAMETERS angstrom
3.9555 0.0000 0.0000
0.0000 3.9555 0.0000
0.0000 0.0000 3.9555
ATOMIC_POSITIONS crystal
Sb 0.0000 0.0000 0.0000
Pd 0.5000 0.5000 0.5000
O 0.0000 0.0000 0.5000
O 0.0000 0.5000 0.0000
O 0.5000 0.0000 0.0000
```

Crystal system: cubic
E_form (uncorrected) (eV/atom): -0.49
Space group: Pm-3m

=====

No. 4
ZrAg3Pd after structural relaxation. Source: the Alexandria database, functional PBE-GGA. Values from VASP.

The structure in Quantum ESPRESSO input format:
```
&SYSTEM
  ibrav = 0, nat = 5, ntyp = 3
/
ATOMIC_SPECIES
Zr 91.22 Zr.upf
Ag 107.87 Ag.upf
Pd 106.42 Pd.upf
CELL_PARAMETERS angstrom
4.9554 0.0000 0.0000
0.0000 4.9554 0.0000
0.0000 0.0000 4.9554
ATOMIC_POSITIONS crystal
Zr 0.0000 0.0000 0.0000
Ag 0.0000 0.5000 0.5000
Ag 0.5000 0.0000 0.5000
Ag 0.5000 0.5000 0.0000
Pd 0.5000 0.5000 0.5000
```

Crystal system: cubic
Energy of formation (meV per atom): 851.2
Relative energy among the computed polymorphs (kJ/mol of formula units): 0
Space group: Pm-3m

=====

no.,spin magnetization (μB per cell)
1,0.00
2,3.11
3,1.11
4,1.86